SmHo2Mg: optimized geometry, GGA-PBE.

Cell and atoms, written as POSCAR:
```
SmHo2Mg
1.0
3.516 0.005 0.002
1.762 3.042 0.002
1.765 1.019 11.320
Sm Mg Ho
1 1 2
direct
0.667 0.667 0.999
0.499 0.499 0.500
0.086 0.086 0.744
0.248 0.248 0.257
```

Computed properties:
energy	-0.140	hartree per atom
total magnetization	0.000	μB/atom
energy relative to the elements	48	meV/atom
energy above the most stable polymorph in this dataset	0.076	eV/atom

---

Fe4Ni5Pd: optimized geometry, GGA-PBE.

Cell and atoms, written as POSCAR:
```
Fe4Ni5Pd
1.0
-1.822 3.009 -0.481
-2.161 -1.198 0.689
2.124 3.257 12.326
Ni Fe Pd
5 4 1
direct
0.500 0.500 0.112
0.500 0.500 0.500
0.500 0.500 0.306
0.500 0.500 0.888
0.500 0.500 0.694
0.000 0.000 0.596
0.000 0.000 0.207
0.000 0.000 0.793
0.000 0.000 0.404
0.000 0.000 0.000
```

Computed properties:
energy	-0.251	hartree per atom
total magnetization	1.443	μB/atom
energy relative to the elements	-47	meV/atom

---

The highest total magnetization belongs to which entry? Fe4Ni5Pd